(1)
The following is a DFT calculation (PBE) of Al2AgRh after structural relaxation.

**Space group**: Pmm2
**Distance to the lowest polymorph of the same formula**: 0.1200 eV/atom
**Formation enthalpy at 0 K**: -0.42 eV per atom

Geometry as POSCAR:
```
Al2AgRh
1.0
3.052 0.000 0.000
0.000 3.677 0.000
0.000 0.000 5.507
Al Ag Rh
2 1 1
Direct
0.000 0.000 0.000 Al
0.500 0.500 0.294 Al
0.500 0.500 0.783 Ag
0.000 0.000 0.462 Rh
```

***

(2)
The following is a DFT calculation (PBE) of Sr2Zn7Si after structural relaxation.

**Space group**: P-4m2
**Uncorrected formation energy**: -0.22 eV per atom

Geometry as POSCAR:
```
Sr2Zn7Si
1.0
4.277 0.000 0.000
0.000 4.277 0.000
0.000 0.000 11.127
Sr Zn Si
2 7 1
Direct
0.000 0.500 0.244 Sr
0.500 0.000 0.756 Sr
0.000 0.000 0.000 Zn
0.000 0.000 0.500 Zn
0.000 0.500 0.638 Zn
0.000 0.500 0.871 Zn
0.500 0.000 0.129 Zn
0.500 0.000 0.362 Zn
0.500 0.500 0.500 Zn
0.500 0.500 0.000 Si
```

***

(3)
The following is a DFT calculation (PBE) of Re2SbOs after structural relaxation.

**Space group**: Cm
**Uncorrected formation energy**: 0.51 eV per atom

Geometry as POSCAR:
```
Re2SbOs
1.0
4.701 -1.466 0.000
4.701 1.466 0.000
-0.652 0.000 4.716
Re Sb Os
2 1 1
Direct
0.000 0.000 0.000 Re
0.733 0.733 0.242 Re
0.496 0.496 0.503 Sb
0.263 0.263 0.785 Os
```

***

(4)
The following is a DFT calculation (PBE) of Sr2PuAgS5 after structural relaxation.

**Space group**: Cmc2_1
**Uncorrected formation energy**: -1.39 eV per atom

Geometry as POSCAR:
```
Sr2PuAgS5
1.0
2.030 -8.663 0.000
2.030 8.663 0.000
0.000 0.000 12.498
Sr Pu Ag S
4 2 2 10
Direct
0.105 0.895 0.500 Sr
0.122 0.878 0.133 Sr
0.878 0.122 0.633 Sr
0.895 0.105 0.000 Sr
0.208 0.792 0.837 Pu
0.792 0.208 0.337 Pu
0.444 0.556 0.262 Ag
0.556 0.444 0.762 Ag
0.063 0.937 0.878 S
0.283 0.717 0.479 S
0.299 0.701 0.195 S
0.359 0.641 0.821 S
0.496 0.504 0.583 S
0.504 0.496 0.083 S
0.641 0.359 0.321 S
0.701 0.299 0.695 S
0.717 0.283 0.979 S
0.937 0.063 0.378 S
```

***

(5)
The following is a DFT calculation (PBE) of KNbReO6 after structural relaxation.

**Space group**: Imma
**Uncorrected formation energy**: -2.02 eV per atom

Geometry as POSCAR:
```
KNbReO6
1.0
-3.664 3.723 5.235
3.664 -3.723 5.235
3.664 3.723 -5.235
K Nb Re O
2 2 2 12
Direct
0.377 0.127 0.250 K
0.623 0.873 0.750 K
0.000 0.500 0.500 Nb
0.500 0.500 0.000 Nb
0.000 0.000 0.500 Re
0.000 0.500 0.000 Re
0.051 0.801 0.250 O
0.057 0.428 0.235 O
0.057 0.822 0.629 O
0.306 0.178 0.735 O
0.306 0.572 0.129 O
0.316 0.566 0.750 O
0.684 0.434 0.250 O
0.694 0.428 0.871 O
0.694 0.822 0.265 O
0.943 0.178 0.371 O
0.943 0.572 0.765 O
0.949 0.199 0.750 O
```

***

(6)
The following is a DFT calculation (PBE) of Pm3NdZn4 after structural relaxation.

**Space group**: Pmma
**Formation enthalpy at 0 K**: -0.31 eV per atom

Geometry as POSCAR:
```
Pm3NdZn4
1.0
10.346 0.000 0.000
0.000 7.352 0.000
0.000 0.000 5.172
Pm Nd Zn
6 2 8
Direct
0.000 0.000 0.000 Pm
0.250 0.000 0.499 Pm
0.250 0.500 0.499 Pm
0.500 0.000 0.000 Pm
0.750 0.000 0.501 Pm
0.750 0.500 0.501 Pm
0.000 0.500 0.000 Nd
0.500 0.500 0.000 Nd
0.000 0.249 0.500 Zn
0.000 0.751 0.500 Zn
0.250 0.249 0.999 Zn
0.250 0.751 0.999 Zn
0.500 0.249 0.500 Zn
0.500 0.751 0.500 Zn
0.750 0.249 0.001 Zn
0.750 0.751 0.001 Zn
```